A geometry-optimized TbTlCrF6 structure, computed with GGA+U.

Lattice parameters (Å, degrees): 5.932 5.932 11.540 90.00 90.00 120.00
Fractional positions:
1 Tl 0.000 0.000 0.500
2 Tl 0.000 0.000 0.000
3 Tb 0.333 0.667 0.750
4 Tb 0.667 0.333 0.250
5 F 0.625 0.009 0.849
6 F 0.384 0.009 0.651
7 F 0.375 0.384 0.349
8 F 0.384 0.375 0.849
9 F 0.991 0.375 0.651
10 F 0.009 0.625 0.349
11 F 0.616 0.625 0.151
12 F 0.616 0.991 0.349
13 F 0.009 0.384 0.151
14 F 0.625 0.616 0.651
15 F 0.991 0.616 0.849
16 F 0.375 0.991 0.151
17 Cr 0.333 0.667 0.250
18 Cr 0.667 0.333 0.750

Values from the calculation:
Spin magnetization   8.0 Bohr magnetons per cell
Calculated total energy   -5.831 eV/atom
Space-group type   No. 163